# 1
VASP calculation (GGA-PBE) on an optimized crystal structure of Ce2SmErTl4.

Calculated values
Calculated formation energy: -0.2780 eV/atom
Density: 10.21 g/cm³
Total moment: 2.2 Bohr magnetons per cell
Energy: -4.10 eV/atom

abc: 5.4549 5.4549 9.4727
angles: 73.27 73.27 60.00
With the nearest neighbours (Å) after each atom.
Positions (direct):
1 Ce 0.7507 0.7507 0.7480  8 Tl 3.31-3.39
2 Ce 0.2493 0.2493 0.2520  8 Tl 3.31-3.39
3 Sm 0.0000 0.0000 0.0000  8 Tl 3.35-3.37
4 Er 0.5000 0.5000 0.5000  8 Tl 3.33
5 Tl 0.3759 0.3759 0.8722  1 Er 3.33, 4 Ce 3.34-3.39, 3 Sm 3.35
6 Tl 0.8742 0.8742 0.3775  4 Ce 3.31-3.34, 3 Er 3.33, 1 Sm 3.37
7 Tl 0.1258 0.1258 0.6225  4 Ce 3.31-3.34, 3 Er 3.33, 1 Sm 3.37
8 Tl 0.6241 0.6241 0.1278  1 Er 3.33, 4 Ce 3.34-3.39, 3 Sm 3.35

# 2
VASP calculation (GGA-PBE) on an optimized crystal structure of CeSmEr2Tl4.

Calculated values
Calculated formation energy: -0.3046 eV/atom
Density: 10.67 g/cm³
Total moment: 1.1 Bohr magnetons per cell
Energy: -3.96 eV/atom

abc: 5.4065 5.4065 9.3998
angles: 73.29 73.29 60.00
With the nearest neighbours (Å) after each atom.
Positions (direct):
1 Ce 0.5000 0.5000 0.5000  8 Tl 3.32-3.34
2 Sm 0.0000 0.0000 0.0000  8 Tl 3.31
3 Er 0.7498 0.7498 0.7505  8 Tl 3.31-3.35
4 Er 0.2502 0.2502 0.2495  8 Tl 3.31-3.35
5 Tl 0.3746 0.3746 0.8762  3 Sm 3.31, 4 Er 3.31, 1 Ce 3.34
6 Tl 0.8756 0.8756 0.3732  4 Er 3.31-3.35, 1 Sm 3.31, 3 Ce 3.32
7 Tl 0.1244 0.1244 0.6268  4 Er 3.31-3.35, 1 Sm 3.31, 3 Ce 3.32
8 Tl 0.6254 0.6254 0.1238  3 Sm 3.31, 4 Er 3.31, 1 Ce 3.34

# 3
VASP calculation (GGA-PBE) on an optimized crystal structure of CeSm2ErTm4.

Calculated values
Calculated formation energy: 0.0432 eV/atom
Density: 8.62 g/cm³
Total moment: 0.8 Bohr magnetons per cell
Energy: -4.68 eV/atom

abc: 3.5294 6.1108 11.6451
angles: 79.84 90.00 90.00
With the nearest neighbours (Å) after each atom.
Positions (direct):
1 Ce 0.0000 0.5000 0.5000  6 Tm 3.50-3.51, 4 Sm 3.53, 2 Ce 3.53
2 Sm 0.0000 0.0000 0.0000  6 Tm 3.53, 4 Er 3.53, 2 Sm 3.53
3 Sm 0.5000 0.0000 0.5000  6 Tm 3.52, 4 Ce 3.53, 2 Sm 3.53
4 Er 0.5000 0.5000 0.0000  6 Tm 3.51-3.52, 4 Sm 3.53, 2 Er 3.53
5 Tm 0.0000 0.7464 0.7504  6 Tm 3.49-3.56, 2 Er 3.51, 1 Ce 3.51, 3 Sm 3.52-3.53
6 Tm 0.0000 0.2536 0.2496  6 Tm 3.49-3.56, 2 Er 3.51, 1 Ce 3.51, 3 Sm 3.52-3.53
7 Tm 0.5000 0.7462 0.2512  6 Tm 3.49-3.56, 2 Ce 3.50, 1 Er 3.52, 3 Sm 3.52-3.53
8 Tm 0.5000 0.2538 0.7488  6 Tm 3.49-3.56, 2 Ce 3.50, 1 Er 3.52, 3 Sm 3.52-3.53

# 4
VASP calculation (GGA-PBE) on an optimized crystal structure of CeSmErTm2.

Calculated values
Calculated formation energy: 0.3032 eV/atom
Density: 8.18 g/cm³
Total moment: 2.4 Bohr magnetons per cell
Energy: -4.53 eV/atom

abc: 7.9993 6.6897 6.0329
angles: 89.96 90.00 90.00
With the nearest neighbours (Å) after each atom.
Positions (direct):
1 Ce 0.0000 0.0000 0.0000  2 Ce 3.02, 2 Er 3.18
2 Ce 0.0000 0.0000 0.5000  2 Ce 3.02, 2 Er 3.18
3 Sm 0.1473 0.5000 0.7500  6 Tm 3.69-4.08, 2 Er 3.72, 2 Sm 3.83, 4 Ce 3.85
4 Sm 0.8527 0.5000 0.2500  6 Tm 3.69-4.08, 2 Er 3.72, 2 Sm 3.83, 4 Ce 3.85
5 Er 0.6494 0.0000 0.2500  6 Tm 3.14-3.49, 2 Ce 3.18
6 Er 0.3506 0.0000 0.7500  6 Tm 3.14-3.49, 2 Ce 3.18
7 Tm 0.6780 0.7402 0.7502  3 Er 3.14-3.49, 2 Tm 3.21-3.48, 2 Ce 3.45
8 Tm 0.6780 0.2598 0.7498  3 Er 3.14-3.49, 2 Tm 3.21-3.48, 2 Ce 3.45
9 Tm 0.3220 0.7402 0.2502  3 Er 3.14-3.49, 2 Tm 3.21-3.48, 2 Ce 3.45
10 Tm 0.3220 0.2598 0.2498  3 Er 3.14-3.49, 2 Tm 3.21-3.48, 2 Ce 3.45

# 5
VASP calculation (GGA-PBE) on an optimized crystal structure of CeSm6Er3Tm2.

Calculated values
Calculated formation energy: 0.0389 eV/atom
Density: 8.12 g/cm³
Total moment: 1.4 Bohr magnetons per cell
Energy: -4.70 eV/atom

abc: 6.1890 6.1890 11.7853
angles: 95.03 95.03 120.00
With the nearest neighbours (Å) after each atom.
Positions (direct):
1 Ce 0.0000 0.0000 0.0000  6 Sm 3.55, 6 Tm 3.57
2 Sm 0.9169 0.5852 0.7500  1 Ce 3.55, 6 Sm 3.56-3.58, 3 Er 3.56, 2 Tm 3.56
3 Sm 0.7514 0.7514 0.2500  1 Ce 3.55, 6 Sm 3.56-3.58, 3 Er 3.56-3.57, 2 Tm 3.56
4 Sm 0.0831 0.4148 0.2500  1 Ce 3.55, 6 Sm 3.56-3.58, 3 Er 3.56, 2 Tm 3.56
5 Sm 0.5852 0.9169 0.7500  1 Ce 3.55, 6 Sm 3.56-3.58, 3 Er 3.56, 2 Tm 3.56
6 Sm 0.2486 0.2486 0.7500  1 Ce 3.55, 6 Sm 3.56-3.58, 3 Er 3.56-3.57, 2 Tm 3.56
7 Sm 0.4148 0.0831 0.2500  1 Ce 3.55, 6 Sm 3.56-3.58, 3 Er 3.56, 2 Tm 3.56
8 Er 0.1673 0.8327 0.5000  6 Sm 3.56, 6 Er 3.57-3.59
9 Er 0.8327 0.1673 0.5000  6 Sm 3.56, 6 Er 3.57-3.59
10 Er 0.5000 0.5000 0.5000  6 Sm 3.56-3.57, 6 Er 3.57-3.58
11 Tm 0.3334 0.6666 0.0000  6 Sm 3.56, 3 Tm 3.57, 3 Ce 3.57
12 Tm 0.6666 0.3334 0.0000  6 Sm 3.56, 3 Tm 3.57, 3 Ce 3.57

# 6
VASP calculation (GGA-PBE) on an optimized crystal structure of CeSm2Er2Tm2.

Calculated values
Calculated formation energy: 0.1562 eV/atom
Density: 8.34 g/cm³
Total moment: 2.0 Bohr magnetons per cell
Energy: -4.62 eV/atom

abc: 5.8553 6.8205 6.2528
angles: 99.51 90.00 115.42
With the nearest neighbours (Å) after each atom.
Positions (direct):
1 Ce 0.0000 0.0000 0.5000  4 Tm 3.43-3.68, 2 Er 3.44, 4 Sm 3.47
2 Sm 0.5791 0.1582 0.7838  3 Tm 3.42-3.45, 2 Ce 3.47, 3 Er 3.48-3.62, 2 Sm 3.61-3.72
3 Sm 0.4209 0.8418 0.2162  3 Tm 3.42-3.45, 2 Ce 3.47, 3 Er 3.48-3.62, 2 Sm 3.61-3.72
4 Er 0.7174 0.4348 0.3465  4 Tm 3.42-3.74, 1 Ce 3.44, 3 Sm 3.48-3.62, 2 Er 3.51
5 Er 0.2826 0.5652 0.6535  4 Tm 3.42-3.74, 1 Ce 3.44, 3 Sm 3.48-3.62, 2 Er 3.51
6 Tm 0.1391 0.2782 0.0727  1 Tm 3.38, 4 Er 3.42-3.74, 3 Sm 3.42-3.45, 2 Ce 3.43-3.68
7 Tm 0.8609 0.7218 0.9273  1 Tm 3.38, 4 Er 3.42-3.74, 3 Sm 3.42-3.45, 2 Ce 3.43-3.68